This record from Alexandria via LeMat-Bulk describes LiTm2UP4 after structural relaxation. The functional is GGA-PBE.

Magnetic moment: 0.9 μB per formula unit
Space-group type: P2/m
DOS at the Fermi energy: 0.477 states/eV per atom
Energy: -6.5515 eV per atom
Crystal system: monoclinic
E_form: -1.08 eV/atom

a b c (Å): 3.943 6.666 6.791
angles (deg): 108.44 90.00 90.00
Fractional positions:
1 Li 0.500 0.500 0.000
2 Tm 0.500 0.000 0.500
3 Tm 0.000 0.500 0.500
4 U 0.000 0.000 0.000
5 P 0.500 0.248 0.244
6 P 0.500 0.752 0.756
7 P 0.000 0.239 0.757
8 P 0.000 0.761 0.243

=====

This record from Alexandria via LeMat-Bulk describes DyHo2Pd9 after structural relaxation. The functional is GGA-PBE.

Magnetic moment: 0.0 μB per formula unit
Space-group type: P4/mmm
DOS at the Fermi energy: 0.764 states/eV per atom
Energy: -5.9223 eV per atom
Crystal system: tetragonal
E_form: -0.88 eV/atom

a b c (Å): 4.117 4.117 12.350
angles (deg): 90.00 90.00 90.00
Fractional positions:
1 Dy 0.000 0.000 0.000
2 Ho 0.000 0.000 0.334
3 Ho 0.000 0.000 0.666
4 Pd 0.500 0.500 0.000
5 Pd 0.500 0.500 0.334
6 Pd 0.500 0.500 0.666
7 Pd 0.500 0.000 0.167
8 Pd 0.500 0.000 0.500
9 Pd 0.500 0.000 0.833
10 Pd 0.000 0.500 0.167
11 Pd 0.000 0.500 0.500
12 Pd 0.000 0.500 0.833

=====

V? In order: 21.16, 17.44 Å³ per atom.